--- P ---
{"formula": "La2GdNi", "functional": "GGA-PBE", "state": "optimized geometry", "lattice_angstrom": [[3.7593, 0.0000, 0.0000], [-1.8797, 3.2557, 0.0000], [0.0000, 0.0000, 31.4791]], "species": ["La", "La", "La", "La", "La", "La", "Gd", "Gd", "Gd", "Ni", "Ni", "Ni"], "frac_coords": [[0.0000, 0.0000, 0.1105], [0.0000, 0.0000, 0.8895], [0.3333, 0.6667, 0.5562], [0.3333, 0.6667, 0.7772], [0.6667, 0.3333, 0.2228], [0.6667, 0.3333, 0.4438], [0.0000, 0.0000, 0.0000], [0.3333, 0.6667, 0.6667], [0.6667, 0.3333, 0.3333], [0.0000, 0.0000, 0.5000], [0.3333, 0.6667, 0.1667], [0.6667, 0.3333, 0.8333]], "space_group": "R-3m (166)"}

--- Q ---
{"formula": "La2GdNi", "functional": "GGA-PBE", "state": "optimized geometry", "lattice_angstrom": [[3.6220, 0.0000, 0.0000], [0.0000, 3.6220, 0.0000], [0.0000, 0.0000, 8.7862]], "species": ["La", "La", "Gd", "Ni"], "frac_coords": [[0.0000, 0.0000, 0.1912], [0.0000, 0.0000, 0.8088], [0.5000, 0.5000, 0.5000], [0.5000, 0.5000, 0.0000]], "space_group": "P4/mmm (123)"}

Ordering by calculated energy gives the sequence Q, P, with the first entry being the most stable.